Below is a relaxed CsNbPO crystal, with properties calculated at the GGA-PBE level.

Computed properties:
**Crystal system**: tetragonal
**Energy**: -5.53 eV per atom

Unit cell a=4.2960 b=4.2960 c=11.3738 alpha=90.00 beta=90.00 gamma=90.00
Positions (direct):
Cs1 0.2500 0.2500 0.1612
Cs2 0.7500 0.7500 0.8388
Nb1 0.2500 0.7500 0.5000
Nb2 0.7500 0.2500 0.5000
P1 0.2500 0.2500 0.6101
P2 0.7500 0.7500 0.3899
O1 0.2500 0.7500 0.0000
O2 0.7500 0.2500 0.0000

***

Below is a relaxed CsNbPO crystal, with properties calculated at the GGA-PBE level.

Computed properties:
**Crystal system**: tetragonal
**Energy**: -5.87 eV per atom

Unit cell a=4.4386 b=4.4386 c=10.1398 alpha=90.00 beta=90.00 gamma=90.00
Positions (direct):
Cs1 0.2500 0.7500 0.0000
Cs2 0.7500 0.2500 0.0000
Nb1 0.2500 0.2500 0.4730
Nb2 0.7500 0.7500 0.5270
P1 0.2500 0.2500 0.2532
P2 0.7500 0.7500 0.7468
O1 0.2500 0.7500 0.5000
O2 0.7500 0.2500 0.5000

***

Below is a relaxed CsNbPO crystal, with properties calculated at the GGA-PBE level.

Computed properties:
**Crystal system**: orthorhombic
**Energy**: -6.40 eV per atom

Unit cell a=3.8470 b=8.3358 c=6.7662 alpha=90.00 beta=90.00 gamma=90.00
Positions (direct):
Cs1 0.0000 0.1722 0.0000
Cs2 0.0000 0.8278 0.5000
Nb1 0.5000 0.4055 0.5572
Nb2 0.5000 0.5945 0.0572
P1 0.0000 0.2404 0.4956
P2 0.0000 0.7596 0.9956
O1 0.5000 0.4295 0.8492
O2 0.5000 0.5705 0.3492

***

Below is a relaxed CsNbPO crystal, with properties calculated at the GGA-PBE level.

Computed properties:
**Crystal system**: tetragonal
**Energy**: -5.55 eV per atom

Unit cell a=4.2042 b=4.2042 c=12.0105 alpha=90.00 beta=90.00 gamma=90.00
Positions (direct):
Cs1 0.2500 0.2500 0.1571
Cs2 0.7500 0.7500 0.8429
Nb1 0.2500 0.7500 0.5000
Nb2 0.7500 0.2500 0.5000
P1 0.2500 0.2500 0.6110
P2 0.7500 0.7500 0.3890
O1 0.2500 0.7500 0.0000
O2 0.7500 0.2500 0.0000

***

Below is a relaxed CsNbSO crystal, with properties calculated at the GGA-PBE level.

Computed properties:
**Crystal system**: orthorhombic
**Energy**: -6.38 eV per atom

Unit cell a=8.3594 b=8.7750 c=5.7170 alpha=90.00 beta=90.00 gamma=90.00
Positions (direct):
Cs1 0.0595 0.1570 0.0000
Cs2 0.4405 0.1570 0.5000
Cs3 0.5595 0.8430 0.0000
Cs4 0.9405 0.8430 0.5000
Nb1 0.1715 0.6216 0.0214
Nb2 0.3285 0.6216 0.5214
Nb3 0.6715 0.3784 0.0214
Nb4 0.8285 0.3784 0.5214
S1 0.0863 0.4945 0.6542
S2 0.4137 0.4945 0.1542
S3 0.5863 0.5055 0.6542
S4 0.9137 0.5055 0.1542
O1 0.1384 0.8271 0.0036
O2 0.3616 0.8271 0.5036
O3 0.6384 0.1729 0.0036
O4 0.8616 0.1729 0.5036

***

Below is a relaxed CsNbS2O9 crystal, with properties calculated at the GGA-PBE level.

Computed properties:
**Crystal system**: orthorhombic
**Energy**: -6.69 eV per atom

Unit cell a=17.3224 b=5.2270 c=8.7144 alpha=90.00 beta=90.00 gamma=90.00
Positions (direct):
Cs1 0.0688 0.2500 0.1515
Cs2 0.4312 0.7500 0.6515
Cs3 0.5688 0.2500 0.3485
Cs4 0.9312 0.7500 0.8485
Nb1 0.1844 0.7500 0.5623
Nb2 0.3156 0.2500 0.0623
Nb3 0.6844 0.7500 0.9377
Nb4 0.8156 0.2500 0.4377
S1 0.0636 0.2500 0.6352
S2 0.1994 0.7500 0.9606
S3 0.3006 0.2500 0.4606
S4 0.4364 0.7500 0.1352
S5 0.5636 0.2500 0.8648
S6 0.6994 0.7500 0.5394
S7 0.8006 0.2500 0.0394
S8 0.9364 0.7500 0.3648
O1 0.0108 0.2500 0.7635
O2 0.0322 0.2500 0.4823
O3 0.1160 0.7500 0.9633
O4 0.1182 0.0225 0.6573
O5 0.1182 0.4775 0.6573
O6 0.1516 0.7500 0.3742
O7 0.2283 0.5193 0.0487
O8 0.2283 0.9807 0.0487
O9 0.2364 0.7500 0.8094
O10 0.2636 0.2500 0.3094
O11 0.2717 0.0193 0.5487
O12 0.2717 0.4807 0.5487
O13 0.3484 0.2500 0.8742
O14 0.3818 0.5225 0.1573
O15 0.3818 0.9775 0.1573
O16 0.3840 0.2500 0.4633
O17 0.4678 0.7500 0.9823
O18 0.4892 0.7500 0.2635
O19 0.5108 0.2500 0.7365
O20 0.5322 0.2500 0.0177
O21 0.6160 0.7500 0.5367
O22 0.6182 0.0225 0.8427
O23 0.6182 0.4775 0.8427
O24 0.6516 0.7500 0.1258
O25 0.7283 0.5193 0.4513
O26 0.7283 0.9807 0.4513
O27 0.7364 0.7500 0.6906
O28 0.7636 0.2500 0.1906
O29 0.7717 0.0193 0.9513
O30 0.7717 0.4807 0.9513
O31 0.8484 0.2500 0.6258
O32 0.8818 0.5225 0.3427
O33 0.8818 0.9775 0.3427
O34 0.8840 0.2500 0.0367
O35 0.9678 0.7500 0.5177
O36 0.9892 0.7500 0.2365